# 1
A relaxed structure of CsMnBePd2, computed with PBE.

Properties
The symmetry is P4/mmm.

a = 4.4478 Å, b = 4.4478 Å, c = 5.6570 Å
α = 90.00°, β = 90.00°, γ = 90.00°
Closest atoms and distances in Å follow each position.
Element x y z (fractional)
Cs: 0.0000 0.0000 0.0000  2 Be 2.83, 4 Mn 3.15
Mn: 0.5000 0.5000 0.0000  4 Cs 3.15
Be: 0.0000 0.0000 0.5000  4 Pd 2.22
Pd: 0.0000 0.5000 0.5000  2 Be 2.22
Pd: 0.5000 0.0000 0.5000  2 Be 2.22

# 2
A relaxed structure of CsMnBe2Pt, computed with PBE.

Properties
The symmetry is P4/mmm.

a = 4.7022 Å, b = 4.7022 Å, c = 4.6633 Å
α = 90.00°, β = 90.00°, γ = 90.00°
Closest atoms and distances in Å follow each position.
Element x y z (fractional)
Cs: 0.0000 0.0000 0.0000  8 Be 3.31, 4 Pt 3.32
Mn: 0.5000 0.5000 0.5000  2 Pt 2.33, 4 Be 2.35
Be: 0.0000 0.5000 0.5000  2 Mn 2.35
Be: 0.5000 0.0000 0.5000  2 Mn 2.35
Pt: 0.5000 0.5000 0.0000  2 Mn 2.33

# 3
A relaxed structure of CsScMnBe2, computed with PBE.

Properties
The symmetry is P4/mmm.

a = 4.7868 Å, b = 4.7868 Å, c = 4.6859 Å
α = 90.00°, β = 90.00°, γ = 90.00°
Closest atoms and distances in Å follow each position.
Element x y z (fractional)
Cs: 0.0000 0.0000 0.0000  8 Be 3.35, 4 Sc 3.38
Sc: 0.5000 0.5000 0.0000  2 Mn 2.34
Mn: 0.5000 0.5000 0.5000  2 Sc 2.34, 4 Be 2.39
Be: 0.0000 0.5000 0.5000  2 Mn 2.39
Be: 0.5000 0.0000 0.5000  2 Mn 2.39

What did we get for magnetization? Answer: 4.633, 1.112, 1.659 μB/cell, in the order shown.
What did we get for calculated volume? Answer: 22.4, 20.6, 21.5 A^3/atom, in the order shown.
What did we get for calculated formation energy? Answer: 0.827, 0.988, 0.912 eV per atom, in the order shown.